No. 1
# Sr2SiO4 (PBEsol, relaxed)
# Density of states at the Fermi level   0.0 states/eV/cell
# Final energy   -207.63 eV per cell
# Calculated density   4.574 g/cm³
# Total magnetization   0.0 μB/cell
data_Sr2SiO4
_chemical_formula_sum 'Sr8 Si4 O16'
_space_group_name_H-M_alt 'P 1'
_space_group_IT_number 1
_space_group_name_Hall 'P 1'
_cell_length_a 5.6631
_cell_length_b 7.0684
_cell_length_c 9.7146
_cell_angle_alpha 90.00
_cell_angle_beta 93.41
_cell_angle_gamma 90.00
loop_
_atom_site_label
_atom_site_type_symbol
_atom_site_fract_x
_atom_site_fract_y
_atom_site_fract_z
Sr1 Sr 0.7748 0.4997 0.8024
Sr2 Sr 0.7252 0.9997 0.6976
Sr3 Sr 0.2252 0.5003 0.1976
Sr4 Sr 0.2748 0.0003 0.3024
Sr5 Sr 0.7645 0.8430 0.0756
Sr6 Sr 0.7355 0.3430 0.4244
Sr7 Sr 0.2355 0.1570 0.9244
Sr8 Sr 0.2645 0.6570 0.5756
Si1 Si 0.7415 0.2792 0.0813
Si2 Si 0.7585 0.7792 0.4187
Si3 Si 0.2585 0.7208 0.9187
Si4 Si 0.2415 0.2208 0.5813
O1 O 0.5236 0.2337 0.1805
O2 O 0.9764 0.7337 0.3195
O3 O 0.4764 0.7663 0.8195
O4 O 0.0236 0.2663 0.6805
O5 O 0.9886 0.1756 0.1404
O6 O 0.5114 0.6756 0.3596
O7 O 0.0114 0.8244 0.8596
O8 O 0.4886 0.3244 0.6404
O9 O 0.6811 0.1801 0.9283
O10 O 0.8189 0.6801 0.5717
O11 O 0.3189 0.8199 0.0717
O12 O 0.1811 0.3199 0.4283
O13 O 0.2815 0.9938 0.5686
O14 O 0.2185 0.4938 0.9314
O15 O 0.7185 0.0062 0.4314
O16 O 0.7815 0.5062 0.0686

---

No. 2
# YScRh3 (PBEsol, relaxed)
# Density of states at the Fermi level   7.3 states/eV/cell
# Energy of formation   0.73 eV per atom
# Final energy   -34.20 eV per cell
# Calculated density   6.871 g/cm³
# Total magnetization   0.0 μB/cell
data_YScRh3
_chemical_formula_sum 'Y1 Sc1 Rh3'
_space_group_name_H-M_alt 'P 1'
_space_group_IT_number 1
_space_group_name_Hall 'P 1'
_cell_length_a 4.7468
_cell_length_b 4.7468
_cell_length_c 4.7468
_cell_angle_alpha 90.00
_cell_angle_beta 90.00
_cell_angle_gamma 90.00
loop_
_atom_site_label
_atom_site_type_symbol
_atom_site_fract_x
_atom_site_fract_y
_atom_site_fract_z
Y1 Y 0.0000 0.0000 0.0000
Sc1 Sc 0.5000 0.5000 0.5000
Rh1 Rh 0.0000 0.5000 0.0000
Rh2 Rh 0.0000 0.0000 0.5000
Rh3 Rh 0.5000 0.0000 0.0000

---

No. 3
# AlTe2Ir (PBEsol, relaxed)
# Density of states at the Fermi level   2.2 states/eV/cell
# E above lowest polymorph   0.0 meV per atom
# Final energy   -21.67 eV per cell
# Calculated density   8.536 g/cm³
# Total magnetization   0.0 μB/cell
data_AlTe2Ir
_chemical_formula_sum 'Al1 Te2 Ir1'
_space_group_name_H-M_alt 'P 1'
_space_group_IT_number 1
_space_group_name_Hall 'P 1'
_cell_length_a 3.7486
_cell_length_b 3.7499
_cell_length_c 6.5651
_cell_angle_alpha 90.03
_cell_angle_beta 90.00
_cell_angle_gamma 90.00
loop_
_atom_site_label
_atom_site_type_symbol
_atom_site_fract_x
_atom_site_fract_y
_atom_site_fract_z
Ir1 Ir 0.5000 0.1249 0.3751
Te1 Te 0.0000 0.1248 0.0756
Te2 Te 0.5000 0.6252 0.6744
Al1 Al 0.0000 0.6250 0.3749

---

No. 4
# KScTeIr2 (PBEsol, relaxed)
# Density of states at the Fermi level   4.8 states/eV/cell
# Final energy   -25.72 eV per cell
# Calculated density   8.529 g/cm³
# Total magnetization   0.0 μB/cell
data_KScTeIr2
_chemical_formula_sum 'K1 Sc1 Te1 Ir2'
_space_group_name_H-M_alt 'P 1'
_space_group_IT_number 1
_space_group_name_Hall 'P 1'
_cell_length_a 4.7369
_cell_length_b 4.7369
_cell_length_c 5.1719
_cell_angle_alpha 90.00
_cell_angle_beta 90.00
_cell_angle_gamma 90.00
loop_
_atom_site_label
_atom_site_type_symbol
_atom_site_fract_x
_atom_site_fract_y
_atom_site_fract_z
Sc1 Sc 0.0000 0.0000 0.0000
K1 K 0.0000 0.0000 0.5000
Ir1 Ir 0.0000 0.5000 0.0000
Ir2 Ir 0.5000 0.0000 0.0000
Te1 Te 0.5000 0.5000 0.5000

---

No. 5
# SbAuSe2N (PBEsol, relaxed)
# Density of states at the Fermi level   3.5 states/eV/cell
# Final energy   -20.77 eV per cell
# Calculated density   7.954 g/cm³
# Total magnetization   0.0 μB/cell
data_SbAuSe2N
_chemical_formula_sum 'Sb1 Au1 Se2 N1'
_space_group_name_H-M_alt 'P 1'
_space_group_IT_number 1
_space_group_name_Hall 'P 1'
_cell_length_a 3.7606
_cell_length_b 5.2190
_cell_length_c 5.2190
_cell_angle_alpha 90.00
_cell_angle_beta 90.00
_cell_angle_gamma 90.00
loop_
_atom_site_label
_atom_site_type_symbol
_atom_site_fract_x
_atom_site_fract_y
_atom_site_fract_z
Sb1 Sb 0.5000 0.5000 0.5000
Au1 Au 0.0000 0.0000 0.0000
Se1 Se 0.0000 0.0000 0.5000
Se2 Se 0.0000 0.5000 0.0000
N1 N 0.5000 0.0000 0.0000

---

No. 6
# ZrSc2AlOs (PBEsol, relaxed)
# Density of states at the Fermi level   4.9 states/eV/cell
# Energy of formation   0.20 eV per atom
# Final energy   -37.59 eV per cell
# Calculated density   5.480 g/cm³
# Total magnetization   0.0 μB/cell
data_ZrSc2AlOs
_chemical_formula_sum 'Zr1 Sc2 Al1 Os1'
_space_group_name_H-M_alt 'P 1'
_space_group_IT_number 1
_space_group_name_Hall 'P 1'
_cell_length_a 4.9244
_cell_length_b 4.9244
_cell_length_c 4.9775
_cell_angle_alpha 90.00
_cell_angle_beta 90.00
_cell_angle_gamma 90.00
loop_
_atom_site_label
_atom_site_type_symbol
_atom_site_fract_x
_atom_site_fract_y
_atom_site_fract_z
Sc1 Sc 0.0000 0.5000 0.0000
Sc2 Sc 0.5000 0.0000 0.0000
Os1 Os 0.0000 0.0000 0.0000
Al1 Al 0.5000 0.5000 0.5000
Zr1 Zr 0.0000 0.0000 0.5000

---

No. 7
# MgHg2P (PBEsol, relaxed)
# Density of states at the Fermi level   2.6 states/eV/cell
# Energy of formation   0.01 eV per atom
# Final energy   -8.59 eV per cell
# Calculated density   8.087 g/cm³
# Total magnetization   0.0 μB/cell
data_MgHg2P
_chemical_formula_sum 'Mg1 Hg2 P1'
_space_group_name_H-M_alt 'P 1'
_space_group_IT_number 1
_space_group_name_Hall 'P 1'
_cell_length_a 3.6541
_cell_length_b 3.6541
_cell_length_c 7.0196
_cell_angle_alpha 90.00
_cell_angle_beta 90.00
_cell_angle_gamma 90.00
loop_
_atom_site_label
_atom_site_type_symbol
_atom_site_fract_x
_atom_site_fract_y
_atom_site_fract_z
Hg1 Hg 0.0000 0.0000 0.0253
Hg2 Hg 0.5000 0.5000 0.2485
Mg1 Mg 0.0000 0.0000 0.6126
P1 P 0.5000 0.5000 0.6136

---

No. 8
# KCoSi2 (PBEsol, relaxed)
# Density of states at the Fermi level   2.5 states/eV/cell
# E above lowest polymorph   29.5 meV per atom
# Final energy   -20.44 eV per cell
# Calculated density   3.497 g/cm³
# Total magnetization   0.0 μB/cell
data_KCoSi2
_chemical_formula_sum 'K1 Co1 Si2'
_space_group_name_H-M_alt 'P 1'
_space_group_IT_number 1
_space_group_name_Hall 'P 1'
_cell_length_a 2.7580
_cell_length_b 3.6646
_cell_length_c 7.2449
_cell_angle_alpha 90.00
_cell_angle_beta 89.89
_cell_angle_gamma 90.00
loop_
_atom_site_label
_atom_site_type_symbol
_atom_site_fract_x
_atom_site_fract_y
_atom_site_fract_z
Co1 Co 0.3734 0.0000 0.3452
K1 K 0.3780 0.5000 0.7500
Si1 Si 0.8751 0.0000 0.0827
Si2 Si 0.8736 0.5000 0.3221

---

No. 9
# NiRh2Cl (PBEsol, relaxed)
# Density of states at the Fermi level   5.2 states/eV/cell
# E above lowest polymorph   0.0 meV per atom
# Final energy   -23.59 eV per cell
# Calculated density   8.920 g/cm³
# Total magnetization   0.0 μB/cell
data_NiRh2Cl
_chemical_formula_sum 'Ni1 Rh2 Cl1'
_space_group_name_H-M_alt 'P 1'
_space_group_IT_number 1
_space_group_name_Hall 'P 1'
_cell_length_a 2.7699
_cell_length_b 2.7829
_cell_length_c 7.2444
_cell_angle_alpha 90.00
_cell_angle_beta 90.05
_cell_angle_gamma 90.00
loop_
_atom_site_label
_atom_site_type_symbol
_atom_site_fract_x
_atom_site_fract_y
_atom_site_fract_z
Cl1 Cl 0.5004 0.0000 0.5140
Ni1 Ni 0.4992 0.5000 0.7652
Rh1 Rh 0.9999 0.0000 0.9904
Rh2 Rh 0.5005 0.5000 0.2304

---

No. 10
# LiMg3 (PBEsol, relaxed)
# Density of states at the Fermi level   1.4 states/eV/cell
# Energy of formation   -0.03 eV per atom
# Final energy   -7.24 eV per cell
# Calculated density   1.577 g/cm³
# Total magnetization   0.0 μB/cell
data_LiMg3
_chemical_formula_sum 'Li1 Mg3'
_space_group_name_H-M_alt 'P 1'
_space_group_IT_number 1
_space_group_name_Hall 'P 1'
_cell_length_a 3.0127
_cell_length_b 4.8456
_cell_length_c 5.8879
_cell_angle_alpha 90.00
_cell_angle_beta 101.98
_cell_angle_gamma 90.00
loop_
_atom_site_label
_atom_site_type_symbol
_atom_site_fract_x
_atom_site_fract_y
_atom_site_fract_z
Mg1 Mg 0.2006 0.5000 0.7593
Mg2 Mg 0.5000 0.0000 0.5000
Mg3 Mg 0.7994 0.5000 0.2407
Li1 Li 0.0000 0.0000 0.0000

---

No. 11
# Sb2O5 (PBEsol, relaxed)
# E above lowest polymorph   0.0 meV per atom
# Final energy   -88.85 eV per cell
# Calculated density   6.597 g/cm³
# Total magnetization   0.0 μB/cell
data_Sb2O5
_chemical_formula_sum 'Sb4 O10'
_space_group_name_H-M_alt 'P 1'
_space_group_IT_number 1
_space_group_name_Hall 'P 1'
_cell_length_a 4.8208
_cell_length_b 5.4634
_cell_length_c 6.8059
_cell_angle_alpha 102.80
_cell_angle_beta 110.74
_cell_angle_gamma 90.00
loop_
_atom_site_label
_atom_site_type_symbol
_atom_site_fract_x
_atom_site_fract_y
_atom_site_fract_z
O1 O 0.7829 0.6240 0.4053
O2 O 0.3776 0.8760 0.5947
O3 O 0.2171 0.3760 0.5947
O4 O 0.6224 0.1240 0.4053
O5 O 0.0116 0.9459 0.2019
O6 O 0.8097 0.5541 0.7981
O7 O 0.9884 0.0541 0.7981
O8 O 0.1903 0.4459 0.2019
O9 O 0.4254 0.7500 0.0000
O10 O 0.5746 0.2500 0.0000
Sb1 Sb 0.1020 0.7199 0.7239
Sb2 Sb 0.3781 0.7801 0.2761
Sb3 Sb 0.8980 0.2801 0.2761
Sb4 Sb 0.6219 0.2199 0.7239

---

No. 12
# CoMo12Se16 (PBEsol, relaxed)
# Density of states at the Fermi level   21.1 states/eV/cell
# Final energy   -225.62 eV per cell
# Calculated density   7.024 g/cm³
# Total magnetization   0.8 μB/cell
data_CoMo12Se16
_chemical_formula_sum 'Co1 Mo12 Se16'
_space_group_name_H-M_alt 'P 1'
_space_group_IT_number 1
_space_group_name_Hall 'P 1'
_cell_length_a 9.1550
_cell_length_b 9.2572
_cell_length_c 9.3955
_cell_angle_alpha 61.69
_cell_angle_beta 61.92
_cell_angle_gamma 61.55
loop_
_atom_site_label
_atom_site_type_symbol
_atom_site_fract_x
_atom_site_fract_y
_atom_site_fract_z
Co1 Co 0.2983 0.1975 0.8664
Mo1 Mo 0.1277 0.4588 0.3243
Mo2 Mo 0.3232 0.1319 0.4456
Mo3 Mo 0.0472 0.1882 0.3637
Mo4 Mo 0.4479 0.3253 0.1333
Mo5 Mo 0.1718 0.3772 0.0517
Mo6 Mo 0.3755 0.0451 0.1694
Mo7 Mo 0.6317 0.9537 0.8206
Mo8 Mo 0.8238 0.6298 0.9494
Mo9 Mo 0.5442 0.6819 0.8684
Mo10 Mo 0.9558 0.8186 0.6302
Mo11 Mo 0.6782 0.8718 0.5453
Mo12 Mo 0.8680 0.5466 0.6789
Se1 Se 0.1276 0.4844 0.7557
Se2 Se 0.0011 0.2556 0.6153
Se3 Se 0.3931 0.3936 0.3886
Se4 Se 0.2399 0.6290 0.0096
Se5 Se 0.2530 0.8795 0.4862
Se6 Se 0.6229 0.0002 0.2548
Se7 Se 0.1055 0.0904 0.1226
Se8 Se 0.5148 0.2446 0.8791
Se9 Se 0.5052 0.7479 0.1176
Se10 Se 0.9004 0.8887 0.8831
Se11 Se 0.3712 0.0011 0.7401
Se12 Se 0.7548 0.1205 0.5053
Se13 Se 0.7465 0.3794 0.9940
Se14 Se 0.5997 0.6115 0.6141
Se15 Se 0.9978 0.7478 0.3835
Se16 Se 0.8727 0.5069 0.2458